Entry 1:
Sc2PaOsC | PBE | relaxed

The structure in POSCAR format:
```
Sc2PaOsC
1.0
-1.0945 2.4562 3.3219
0.9165 -3.2065 2.6728
4.7263 1.6387 0.3455
Sc Pa Os C
2 1 1 1
Direct
0.0000 0.5000 0.9933 Sc
0.5000 0.0000 0.9934 Sc
0.0000 0.0000 0.4959 Pa
0.5000 0.5000 0.5070 Os
0.0000 0.0000 0.0104 C
```

Properties
- Formation enthalpy at 0 K: -332 meV/atom
- Uncorrected energy: -8.855 eV/atom

***

Entry 2:
BaLi4Pb5 | PBE | relaxed

The structure in POSCAR format:
```
BaLi4Pb5
1.0
3.6668 0.0000 0.0000
0.0000 3.6712 0.0000
0.0000 0.0000 19.0410
Ba Li Pb
1 4 5
Direct
0.0000 0.0000 0.0000 Ba
0.0000 0.0000 0.2270 Li
0.0000 0.0000 0.4099 Li
0.0000 0.0000 0.5901 Li
0.0000 0.0000 0.7730 Li
0.5000 0.5000 0.1382 Pb
0.5000 0.5000 0.3183 Pb
0.5000 0.5000 0.5000 Pb
0.5000 0.5000 0.6817 Pb
0.5000 0.5000 0.8618 Pb
```

Properties
- Formation enthalpy at 0 K: -292 meV/atom
- Uncorrected energy: -3.104 eV/atom

***

Entry 3:
DySnSb | PBE | relaxed

The structure in POSCAR format:
```
DySnSb
1.0
3.2593 0.0000 0.0000
0.0000 5.3698 0.0000
0.0000 -2.6849 4.6504
Sb Sn Dy
1 1 1
Direct
0.8316 0.0000 0.0000 Sb
0.8350 0.6667 0.3333 Sn
0.3334 0.3333 0.6667 Dy
```

Properties
- Uncorrected energy: -4.588 eV/atom
- Energy relative to the elements, uncorrected: -0.346 eV/atom

***

Entry 4:
ScPN3 | PBE | relaxed

The structure in POSCAR format:
```
ScPN3
1.0
-2.8611 0.1864 2.9509
2.6215 -1.7394 2.6516
1.3676 3.7240 1.0908
Sc P N
1 1 3
Direct
0.0000 0.0000 0.0000 Sc
0.5000 0.5000 0.5000 P
0.0000 0.5000 0.0000 N
0.0000 0.0000 0.5000 N
0.5000 0.0000 0.0000 N
```

Properties
- Uncorrected energy: -5.773 eV/atom
- Energy relative to the elements, uncorrected: 1.570 eV/atom

***

Entry 5:
BaNa6Sr8 | PBE | relaxed

The structure in POSCAR format:
```
BaNa6Sr8
1.0
11.1491 0.0000 0.0000
5.5745 9.6554 0.0000
5.5745 3.2185 6.8148
Ba Na Sr
1 6 8
Direct
0.0000 0.0000 0.0000 Ba
0.3698 0.9755 0.9571 Na
0.0245 0.3023 0.0429 Na
0.3023 0.6302 0.0429 Na
0.6977 0.3698 0.9571 Na
0.9755 0.6977 0.9571 Na
0.6302 0.0245 0.0429 Na
0.3740 0.2318 0.4543 Sr
0.7682 0.0602 0.5457 Sr
0.0602 0.6260 0.5457 Sr
0.6017 0.6017 0.1950 Sr
0.3983 0.3983 0.8050 Sr
0.9398 0.3740 0.4543 Sr
0.2318 0.9398 0.4543 Sr
0.6260 0.7682 0.5457 Sr
```

Properties
- Formation enthalpy at 0 K: 55 meV/atom
- Uncorrected energy: -1.498 eV/atom

***

Entry 6:
Pm6YHo6 | PBE | relaxed

The structure in POSCAR format:
```
Pm6YHo6
1.0
6.7237 -0.0001 0.0000
-3.3612 5.8233 0.0000
0.0000 0.0000 11.3733
Pm Y Ho
6 1 6
Direct
0.0000 0.0000 0.6558 Pm
0.0000 0.0000 0.3442 Pm
0.3333 0.6666 0.0000 Pm
0.6667 0.3334 0.0000 Pm
0.3333 0.6667 0.5000 Pm
0.6667 0.3333 0.5000 Pm
0.0000 0.0000 0.0000 Y
0.0000 0.5000 0.7540 Ho
0.5000 0.0000 0.7540 Ho
0.5000 0.5000 0.7540 Ho
0.5000 0.0000 0.2460 Ho
0.0000 0.5000 0.2460 Ho
0.5000 0.5000 0.2460 Ho
```

Properties
- Formation enthalpy at 0 K: 268 meV/atom
- Uncorrected energy: -4.535 eV/atom

***

Entry 7:
Pm12NdPb6 | PBE | relaxed

The structure in POSCAR format:
```
Pm12NdPb6
1.0
-5.5625 -4.5940 -5.5381
7.7690 -4.7153 -0.3536
-3.2446 -1.8128 8.3008
Pm Nd Pb
12 1 6
Direct
0.8816 0.1184 0.5000 Pm
0.8287 0.5680 0.5680 Pm
0.5680 0.5680 0.8287 Pm
0.4320 0.1713 0.4320 Pm
0.4320 0.4320 0.1713 Pm
0.1713 0.4320 0.4320 Pm
0.1184 0.5000 0.8816 Pm
0.5000 0.8816 0.1184 Pm
0.1184 0.8816 0.5000 Pm
0.8816 0.5000 0.1184 Pm
0.5000 0.1184 0.8816 Pm
0.5680 0.8287 0.5680 Pm
0.0000 0.0000 0.0000 Nd
0.7109 0.2524 0.2524 Pb
0.2524 0.2524 0.7109 Pb
0.2524 0.7109 0.2524 Pb
0.7476 0.7476 0.2891 Pb
0.2891 0.7476 0.7476 Pb
0.7476 0.2891 0.7476 Pb
```

Properties
- Formation enthalpy at 0 K: -182 meV/atom
- Uncorrected energy: -4.605 eV/atom

***

Entry 8:
NaInTe2 | PBE | relaxed

The structure in POSCAR format:
```
NaInTe2
1.0
6.2258 0.1577 0.0324
1.3055 7.4286 -0.0795
-2.9843 -0.7075 3.0632
Na Te In
1 2 1
Direct
0.8400 0.5212 0.1028 Na
0.8382 0.8438 0.7621 Te
0.3386 0.3383 0.0088 Te
0.3382 0.0776 0.3778 In
```

Properties
- Uncorrected energy: -3.142 eV/atom
- Energy relative to the elements, uncorrected: -0.557 eV/atom

***

Entry 9:
Mn2OsCl | PBE | relaxed

The structure in POSCAR format:
```
Mn2OsCl
1.0
-2.5170 2.2317 -2.6892
-4.2799 -0.4398 0.1924
-2.4306 3.2229 1.5010
Mn Os Cl
2 1 1
Direct
0.0000 0.0000 0.0000 Mn
0.7500 0.7500 0.7500 Mn
0.2500 0.2500 0.2500 Os
0.5000 0.5000 0.5000 Cl
```

Properties
- Uncorrected energy: -6.877 eV/atom
- Energy relative to the elements, uncorrected: 0.977 eV/atom

***

Entry 10:
Na3SrPt | PBE | relaxed

The structure in POSCAR format:
```
Na3SrPt
1.0
-0.5990 5.1617 1.9286
-3.3173 1.2112 -4.2720
-4.3998 -1.6159 2.9584
Sr Pt Na
1 1 3
Direct
0.5000 0.5000 0.5000 Sr
0.0000 0.0000 0.0000 Pt
0.0000 0.5000 0.0000 Na
0.0000 0.0000 0.5000 Na
0.5000 0.0000 0.0000 Na
```

Properties
- Formation enthalpy at 0 K: 61 meV/atom
- Uncorrected energy: -2.274 eV/atom

***

Entry 11:
CsGaSn2F8 | PBE | relaxed

The structure in POSCAR format:
```
CsGaSn2F8
1.0
5.4634 0.1873 0.2760
0.2083 5.1763 0.0574
0.4692 0.0798 8.2436
Cs Ga Sn F
1 1 2 8
Direct
0.0000 0.0000 0.5000 Cs
0.0000 0.0000 0.0000 Ga
0.4839 0.4910 0.7830 Sn
0.5161 0.5090 0.2170 Sn
0.2005 0.8295 0.1518 F
0.7328 0.7790 0.0707 F
0.8825 0.2450 0.1705 F
0.7995 0.1705 0.8482 F
0.2672 0.2210 0.9293 F
0.1175 0.7550 0.8295 F
0.5983 0.7131 0.4132 F
0.4017 0.2869 0.5868 F
```

Properties
- Uncorrected energy: -4.724 eV/atom
- Energy relative to the elements, uncorrected: -2.486 eV/atom

***

Entry 12:
Cs2Rb2Cd | PBE | relaxed

The structure in POSCAR format:
```
Cs2Rb2Cd
1.0
-3.5160 3.6258 2.9722
2.4458 -1.7510 5.0293
8.4107 10.4605 2.9660
Cs Rb Cd
2 2 1
Direct
0.4151 0.4151 0.1698 Cs
0.5849 0.5849 0.8302 Cs
0.7500 0.2500 0.5000 Rb
0.2500 0.7500 0.5000 Rb
0.0000 0.0000 0.0000 Cd
```

Properties
- Formation enthalpy at 0 K: 141 meV/atom
- Uncorrected energy: -0.771 eV/atom